Below is crystalline Mn8Nb3W at its relaxed geometry, with properties calculated at the PBE-GGA level.

Summary:
The calculation puts the density of states at the Fermi level at 19.356 states/eV/f.u. The calculation puts the calculated volume at 156.7 Å³/cell. As for the crystal system: trigonal. The total DFT energy (no corrections) comes out at -118.0 eV/f.u.

a b c (Å): 4.794 4.794 7.870
angles (deg): 90.00 90.00 120.00
Element x y z (fractional)
Mn1 0.000 0.000 0.000
Mn2 0.000 0.000 0.497
Mn3 0.172 0.343 0.247
Mn4 0.172 0.828 0.247
Mn5 0.343 0.172 0.751
Mn6 0.657 0.828 0.247
Mn7 0.828 0.172 0.751
Mn8 0.828 0.657 0.751
Nb1 0.333 0.667 0.563
Nb2 0.333 0.667 0.939
Nb3 0.667 0.333 0.434
W1 0.667 0.333 0.061

=====

Below is crystalline TmZrSc6 at its relaxed geometry, with properties calculated at the PBE-GGA level.

Summary:
The calculation puts the density of states at the Fermi level at 16.412 states/eV/f.u. The calculation puts the calculated volume at 198.9 Å³/cell. As for the crystal system: hexagonal. For the offset from the most stable computed form, the calculation gives 0 meV per atom. The total DFT energy (no corrections) comes out at -50.9 eV/f.u.

a b c (Å): 6.661 6.661 5.175
angles (deg): 90.00 90.00 120.00
Element x y z (fractional)
Tm1 0.000 0.000 0.000
Zr1 0.333 0.667 0.500
Sc1 0.006 0.503 0.000
Sc2 0.339 0.169 0.500
Sc3 0.497 0.503 0.000
Sc4 0.497 0.994 0.000
Sc5 0.831 0.169 0.500
Sc6 0.831 0.661 0.500

=====

Below is crystalline ZrAs2Se at its relaxed geometry, with properties calculated at the PBE-GGA level.

Summary:
The calculation puts the density of states at the Fermi level at 2.136 states/eV/f.u. The calculation puts the calculated volume at 78.1 Å³/cell. As for the crystal system: tetragonal. The formation energy from raw total energies is -0.358 eV/atom. The total DFT energy (no corrections) comes out at -22.8 eV/f.u.

a b c (Å): 5.664 5.664 5.664
angles (deg): 138.79 138.79 59.69
Element x y z (fractional)
Zr1 0.000 0.000 0.000
As1 0.250 0.750 0.500
As2 0.750 0.250 0.500
Se1 0.500 0.500 0.000

=====

Below is crystalline YIn2Pb2 at its relaxed geometry, with properties calculated at the PBE-GGA level.

Summary:
The calculation puts the density of states at the Fermi level at 3.066 states/eV/f.u. The calculation puts the calculated volume at 151.7 Å³/cell. As for the crystal system: tetragonal. For the offset from the most stable computed form, the calculation gives 54 meV per atom. The total DFT energy (no corrections) comes out at -19.6 eV/f.u.

a b c (Å): 8.852 8.852 8.852
angles (deg): 152.09 152.09 39.88
Element x y z (fractional)
Y1 0.000 0.000 0.000
In1 0.250 0.750 0.500
In2 0.750 0.250 0.500
Pb1 0.406 0.406 0.000
Pb2 0.594 0.594 0.000

=====

Below is crystalline Tm4SbTe2 at its relaxed geometry, with properties calculated at the PBE-GGA level.

Summary:
The calculation puts the density of states at the Fermi level at 4.857 states/eV/f.u. The calculation puts the calculated volume at 406.3 Å³/cell. As for the crystal system: orthorhombic. For the offset from the most stable computed form, the calculation gives 4 meV per atom. The formation energy from raw total energies is -0.891 eV/atom. The total DFT energy (no corrections) comes out at -34.5 eV/f.u.

a b c (Å): 7.050 7.050 14.655
angles (deg): 90.00 90.00 146.10
Element x y z (fractional)
Tm1 0.000 0.000 0.000
Tm2 0.000 0.000 0.500
Tm3 0.293 0.707 0.635
Tm4 0.293 0.707 0.865
Tm5 0.417 0.583 0.250
Tm6 0.583 0.417 0.750
Tm7 0.707 0.293 0.135
Tm8 0.707 0.293 0.365
Sb1 0.083 0.917 0.250
Sb2 0.917 0.083 0.750
Te1 0.353 0.647 0.060
Te2 0.353 0.647 0.440
Te3 0.647 0.353 0.560
Te4 0.647 0.353 0.940

=====

Below is crystalline Y2ScW2 at its relaxed geometry, with properties calculated at the PBE-GGA level.

Summary:
The calculation puts the density of states at the Fermi level at 10.514 states/eV/f.u. The calculation puts the calculated volume at 242.2 Å³/cell. As for the crystal system: tetragonal. For the offset from the most stable computed form, the calculation gives 0 meV per atom. The total DFT energy (no corrections) comes out at -42.7 eV/f.u.

a b c (Å): 7.426 7.426 4.391
angles (deg): 90.00 90.00 90.00
Element x y z (fractional)
Y1 0.175 0.325 0.000
Y2 0.325 0.825 0.000
Y3 0.675 0.175 0.000
Y4 0.825 0.675 0.000
Sc1 0.000 0.000 0.500
Sc2 0.500 0.500 0.500
W1 0.114 0.614 0.500
W2 0.386 0.114 0.500
W3 0.614 0.886 0.500
W4 0.886 0.386 0.500